Record 1
VASP calculation (PBE) on an optimized crystal structure of Nd2MgSc.

Energy relative to the elements in meV per atom: -7
M_tot in μB per atom: 0.08

Structure (POSCAR):
```
Nd2MgSc
1.0
3.717 0.000 0.000
0.000 3.717 0.000
0.000 0.000 8.604
Nd Mg Sc
2 1 1
direct
0.000 0.000 0.252 Nd
0.000 0.000 0.748 Nd
0.500 0.500 0.500 Mg
0.500 0.500 0.000 Sc
```

---

Record 2
VASP calculation (PBE) on an optimized crystal structure of Nd2MgSc.

Energy relative to the elements in meV per atom: 68
M_tot in μB per atom: 0.00

Structure (POSCAR):
```
Nd2MgSc
1.0
-2.968 -0.218 -1.789
0.073 -0.092 -3.470
-0.308 -11.511 -1.420
Nd Sc Mg
2 1 1
direct
0.253 0.253 0.242 Nd
0.080 0.080 0.758 Nd
0.667 0.667 0.999 Sc
0.500 0.500 0.501 Mg
```

---

Record 3
VASP calculation (PBE) on an optimized crystal structure of NdMg3Sc.

Energy relative to the elements in meV per atom: 172
M_tot in μB per atom: 0.00

Structure (POSCAR):
```
NdMg3Sc
1.0
5.883 0.000 0.000
0.000 7.353 -0.001
0.000 -3.675 6.369
Mg Nd Sc
6 2 2
direct
0.750 0.200 0.800 Mg
0.750 0.200 0.400 Mg
0.750 0.600 0.800 Mg
0.250 0.800 0.600 Mg
0.250 0.800 0.200 Mg
0.250 0.400 0.200 Mg
0.750 0.667 0.333 Nd
0.250 0.333 0.667 Nd
0.500 0.000 0.000 Sc
0.000 0.000 0.000 Sc
```

---

Record 4
VASP calculation (PBE) on an optimized crystal structure of Nd2MgSc.

Energy relative to the elements in meV per atom: 190
M_tot in μB per atom: 0.00

Structure (POSCAR):
```
Nd2MgSc
1.0
-0.139 -0.267 3.417
2.891 0.068 1.845
0.048 12.060 2.666
Mg Sc Nd
1 1 2
direct
0.000 0.000 0.000 Mg
0.500 0.500 0.500 Sc
0.091 0.091 0.726 Nd
0.909 0.909 0.274 Nd
```

---

Record 5
VASP calculation (PBE) on an optimized crystal structure of NdMg6Sc.

Energy relative to the elements in meV per atom: -51
M_tot in μB per atom: 0.00

Structure (POSCAR):
```
NdMg6Sc
1.0
-1.335 2.531 3.673
3.462 -1.829 2.520
5.562 6.829 -2.685
Mg Nd Sc
6 1 1
direct
0.500 0.000 0.738 Mg
0.000 0.500 0.262 Mg
0.500 0.500 0.000 Mg
0.000 0.500 0.738 Mg
0.500 0.000 0.262 Mg
0.500 0.500 0.500 Mg
0.000 0.000 0.000 Nd
0.000 0.000 0.500 Sc
```

---

Record 6
VASP calculation (PBE) on an optimized crystal structure of Nd3Mg2Sc.

Energy relative to the elements in meV per atom: -38
M_tot in μB per atom: 0.00

Structure (POSCAR):
```
Nd3Mg2Sc
1.0
-1.694 -2.545 2.303
2.813 0.442 2.557
-6.227 8.947 5.304
Nd Mg Sc
3 2 1
direct
0.000 0.000 0.672 Nd
0.000 0.000 0.000 Nd
0.000 0.000 0.328 Nd
0.500 0.500 0.164 Mg
0.500 0.500 0.836 Mg
0.500 0.500 0.500 Sc
```